(1)
Compound: Zr2NbNi
Source: Alexandria via LeMat-Bulk
Functional: PBE-GGA
Structure: relaxed

a = 4.6931 Å, b = 4.6931 Å, c = 4.6931 Å
α = 60.00°, β = 60.00°, γ = 60.00°
Fractional coordinates of all 4 atoms:
Ni  0.5000  0.5000  0.5000
Nb  0.0000  0.0000  0.0000
Zr  0.2500  0.2500  0.2500
Zr  0.7500  0.7500  0.7500

Computed properties:
ΔE_f	-60	meV per atom

***

(2)
Compound: ZrNbNi
Source: Alexandria via LeMat-Bulk
Functional: PBE-GGA
Structure: relaxed

a = 3.2549 Å, b = 5.2187 Å, c = 6.7525 Å
α = 80.10°, β = 76.08°, γ = 72.20°
Fractional coordinates of all 6 atoms:
Zr  0.4320  0.3014  0.3376
Zr  0.5680  0.6986  0.6624
Nb  0.8390  0.7632  0.0556
Nb  0.1610  0.2368  0.9444
Ni  0.8553  0.1322  0.6580
Ni  0.1447  0.8678  0.3420

Computed properties:
ΔE_f	-198	meV per atom

***

Number 1: magnetic moment 0.0 μB/f.u., energy above the lowest structure with this stoichiometry 86 meV per atom. Number 2: magnetic moment 0.0 μB/f.u., energy above the lowest structure with this stoichiometry 24 meV per atom.